DFT (PBE-GGA) results for an optimized crystal structure of Ga4CuNi.

a b c (Å): 6.0318 6.0318 6.5864
angles (deg): 117.25 117.25 90.00
With the nearest neighbours (Å) after each atom.
Positions (direct):
Cu: 0.5000 0.5000 0.0000  2 Ni 2.51, 8 Ga 2.64
Cu: 0.0000 0.0000 0.0000  2 Ni 2.51, 8 Ga 2.64
Ga: 0.9748 0.7943 0.2691  2 Ni 2.55, 2 Cu 2.64, 3 Ga 2.70-2.78
Ga: 0.2057 0.7057 0.7309  2 Ni 2.55, 2 Cu 2.64, 3 Ga 2.70-2.78
Ga: 0.7057 0.5252 0.7309  2 Ni 2.55, 2 Cu 2.64, 3 Ga 2.70-2.78
Ga: 0.7943 0.2943 0.2691  2 Ni 2.55, 2 Cu 2.64, 3 Ga 2.70-2.78
Ga: 0.2943 0.4748 0.2691  2 Ni 2.55, 2 Cu 2.64, 3 Ga 2.70-2.78
Ga: 0.4748 0.9748 0.2691  2 Ni 2.55, 2 Cu 2.64, 3 Ga 2.70-2.78
Ga: 0.0252 0.2057 0.7309  2 Ni 2.55, 2 Cu 2.64, 3 Ga 2.70-2.78
Ga: 0.5252 0.0252 0.7309  2 Ni 2.55, 2 Cu 2.64, 3 Ga 2.70-2.78
Ni: 0.7500 0.7500 0.5000  2 Cu 2.51, 8 Ga 2.55
Ni: 0.2500 0.2500 0.5000  2 Cu 2.51, 8 Ga 2.55

## Properties
The calculated total energy comes out at -3.859 eV per atom. For the energy above the most stable polymorph in this dataset, the calculation gives 0 meV/atom. As for the symmetry: No. 140. The value obtained for the magnetization is 0.000 Bohr magnetons per cell. The formation energy is -0.19 eV per atom.